[1]
Entry from the Alexandria database: a relaxed Li5Ca3Hg crystal (GGA-PBE).

Computed properties:
Crystal system: hexagonal
Total energy (eV for the cell shown): -16.81
Formation enthalpy at 0 K (eV/atom): -0.10

abc: 7.6553 7.6553 4.8187
angles: 90.00 90.00 120.00
Sites, in units of the cell vectors:
Li: 0.0000 0.2232 0.0000
Li: 0.2232 0.0000 0.0000
Li: 0.3333 0.6667 0.0000
Li: 0.6667 0.3333 0.0000
Li: 0.7768 0.7768 0.0000
Ca: 0.0000 0.5897 0.5000
Ca: 0.4103 0.4103 0.5000
Ca: 0.5897 0.0000 0.5000
Hg: 0.0000 0.0000 0.5000

---

[2]
Entry from the Alexandria database: a relaxed Ce2Nd12Y5 crystal (GGA-PBE).

Computed properties:
Crystal system: monoclinic
Total energy (eV for the cell shown): -98.37
Formation enthalpy at 0 K (eV/atom): 0.16

abc: 9.9682 9.9682 9.8856
angles: 104.33 104.33 42.79
Sites, in units of the cell vectors:
Ce: 0.1873 0.8127 0.0000
Ce: 0.8127 0.1873 0.0000
Nd: 0.0079 0.0079 0.6722
Nd: 0.0935 0.5869 0.4740
Nd: 0.1039 0.5819 0.1059
Nd: 0.4131 0.9065 0.5260
Nd: 0.4181 0.8961 0.8941
Nd: 0.4609 0.4609 0.7985
Nd: 0.5391 0.5391 0.2015
Nd: 0.5819 0.1039 0.1059
Nd: 0.5869 0.0935 0.4740
Nd: 0.8961 0.4181 0.8941
Nd: 0.9065 0.4131 0.5260
Nd: 0.9921 0.9921 0.3278
Y: 0.1810 0.1810 0.2192
Y: 0.2882 0.2882 0.7719
Y: 0.5000 0.5000 0.5000
Y: 0.7118 0.7118 0.2281
Y: 0.8190 0.8190 0.7808

---

[3]
Entry from the Alexandria database: a relaxed Ba3Pm3DySe8 crystal (GGA-PBE).

Computed properties:
Crystal system: trigonal
Total energy (eV for the cell shown): -81.61
Formation energy from raw total energies (eV per formula unit): -29.11

abc: 9.0401 9.0401 9.0401
angles: 56.71 56.71 56.71
Sites, in units of the cell vectors:
Ba: 0.0000 0.5000 0.5000
Ba: 0.5000 0.0000 0.5000
Ba: 0.5000 0.5000 0.0000
Pm: 0.0000 0.0000 0.5000
Pm: 0.0000 0.5000 0.0000
Pm: 0.5000 0.0000 0.0000
Dy: 0.5000 0.5000 0.5000
Se: 0.2403 0.2403 0.2403
Se: 0.2442 0.7350 0.7350
Se: 0.2650 0.2650 0.7558
Se: 0.2650 0.7558 0.2650
Se: 0.7350 0.2442 0.7350
Se: 0.7350 0.7350 0.2442
Se: 0.7558 0.2650 0.2650
Se: 0.7597 0.7597 0.7597

---

[4]
Entry from the Alexandria database: a relaxed LaMoP2 crystal (GGA-PBE).

Computed properties:
Energy relative to the lowest polymorph listed for this composition (eV/atom): 0.858
Crystal system: tetragonal
Total energy (eV for the cell shown): -26.52
Formation enthalpy at 0 K (eV/atom): 0.01

abc: 5.8285 5.8285 5.8285
angles: 139.88 139.88 58.03
Sites, in units of the cell vectors:
La: 0.0000 0.0000 0.0000
Mo: 0.2500 0.7500 0.5000
P: 0.5000 0.5000 0.0000
P: 0.7500 0.2500 0.5000

---

[5]
Entry from the Alexandria database: a relaxed HfPd3Pt4 crystal (GGA-PBE).

Computed properties:
Crystal system: orthorhombic
Total energy (eV for the cell shown): -53.91
Formation enthalpy at 0 K (eV/atom): -0.53

abc: 8.5186 8.5186 8.5186
angles: 153.13 152.87 38.56
Sites, in units of the cell vectors:
Hf: 0.0000 0.0000 0.0000
Pd: 0.1237 0.6237 0.5000
Pd: 0.5000 0.5000 0.0000
Pd: 0.8763 0.3763 0.5000
Pt: 0.2538 0.2538 0.0000
Pt: 0.3774 0.8774 0.5000
Pt: 0.6226 0.1226 0.5000
Pt: 0.7462 0.7462 0.0000

---

[6]
Entry from the Alexandria database: a relaxed Pm6SmN5 crystal (GGA-PBE).

Computed properties:
Crystal system: hexagonal
Total energy (eV for the cell shown): -169.78
Formation energy from raw total energies (eV per formula unit): -10.04

abc: 6.6432 6.6432 12.6031
angles: 90.00 90.00 120.00
Sites, in units of the cell vectors:
Pm: 0.0000 0.3967 0.1169
Pm: 0.0000 0.3967 0.3831
Pm: 0.0000 0.6033 0.6169
Pm: 0.0000 0.6033 0.8831
Pm: 0.3967 0.0000 0.1169
Pm: 0.3967 0.0000 0.3831
Pm: 0.3967 0.3967 0.6169
Pm: 0.3967 0.3967 0.8831
Pm: 0.6033 0.0000 0.6169
Pm: 0.6033 0.0000 0.8831
Pm: 0.6033 0.6033 0.1169
Pm: 0.6033 0.6033 0.3831
Sm: 0.0000 0.0000 0.2500
Sm: 0.0000 0.0000 0.7500
N: 0.0000 0.3451 0.7500
N: 0.0000 0.6549 0.2500
N: 0.3333 0.6667 0.0000
N: 0.3333 0.6667 0.5000
N: 0.3451 0.0000 0.7500
N: 0.3451 0.3451 0.2500
N: 0.6549 0.0000 0.2500
N: 0.6549 0.6549 0.7500
N: 0.6667 0.3333 0.0000
N: 0.6667 0.3333 0.5000

---

[7]
Entry from the Alexandria database: a relaxed Zn2W crystal (GGA-PBE).

Computed properties:
Energy relative to the lowest polymorph listed for this composition (eV/atom): 0.077
Crystal system: orthorhombic
Total energy (eV for the cell shown): -29.66
Formation enthalpy at 0 K (eV/atom): 0.22

abc: 7.4973 7.4973 4.6944
angles: 90.00 90.00 159.64
Sites, in units of the cell vectors:
Zn: 0.0516 0.9484 0.7500
Zn: 0.3922 0.6078 0.7500
Zn: 0.6078 0.3922 0.2500
Zn: 0.9484 0.0516 0.2500
W: 0.2833 0.7167 0.2500
W: 0.7167 0.2833 0.7500

---

[8]
Entry from the Alexandria database: a relaxed Ba2Na3Tl6 crystal (GGA-PBE).

Computed properties:
Crystal system: orthorhombic
Total energy (eV for the cell shown): -23.52
Formation enthalpy at 0 K (eV/atom): -0.14

abc: 9.5134 9.5134 4.2811
angles: 90.00 90.00 99.24
Sites, in units of the cell vectors:
Ba: 0.1972 0.8028 0.0000
Ba: 0.8028 0.1972 0.0000
Na: 0.3046 0.3046 0.0000
Na: 0.5000 0.5000 0.5000
Na: 0.6954 0.6954 0.0000
Tl: 0.1227 0.1227 0.5000
Tl: 0.1496 0.4693 0.5000
Tl: 0.4693 0.1496 0.5000
Tl: 0.5307 0.8504 0.5000
Tl: 0.8504 0.5307 0.5000
Tl: 0.8773 0.8773 0.5000

---

[9]
Entry from the Alexandria database: a relaxed ReNiSn2 crystal (GGA-PBE).

Computed properties:
Energy relative to the lowest polymorph listed for this composition (eV/atom): 0.000
Crystal system: cubic
Total energy (eV for the cell shown): -24.60
Formation enthalpy at 0 K (eV/atom): 0.41

abc: 4.6060 4.6060 4.6060
angles: 60.00 60.00 60.00
Sites, in units of the cell vectors:
Re: 0.0000 0.0000 0.0000
Ni: 0.5000 0.5000 0.5000
Sn: 0.2500 0.2500 0.2500
Sn: 0.7500 0.7500 0.7500

---

[10]
Entry from the Alexandria database: a relaxed Pm2YHo2Er2 crystal (GGA-PBE).

Computed properties:
Crystal system: monoclinic
Total energy (eV for the cell shown): -33.63
Formation enthalpy at 0 K (eV/atom): 0.09

abc: 6.1037 6.1037 11.7751
angles: 108.28 108.28 33.43
Sites, in units of the cell vectors:
Pm: 0.1715 0.1715 0.0851
Pm: 0.8285 0.8285 0.9149
Y: 0.5000 0.5000 0.5000
Ho: 0.0509 0.0509 0.7707
Ho: 0.9491 0.9491 0.2293
Er: 0.2747 0.2747 0.6370
Er: 0.7253 0.7253 0.3630

---

[11]
Entry from the Alexandria database: a relaxed LiRu2W crystal (GGA-PBE).

Computed properties:
Energy relative to the lowest polymorph listed for this composition (eV/atom): 0.217
Crystal system: monoclinic
Total energy (eV for the cell shown): -32.77
Formation enthalpy at 0 K (eV/atom): 0.16

abc: 2.6876 4.1558 5.0320
angles: 90.00 94.52 90.00
Sites, in units of the cell vectors:
Li: 0.0000 0.0000 0.0000
Ru: 0.2469 0.5000 0.7690
Ru: 0.7531 0.5000 0.2310
W: 0.5000 0.0000 0.5000

---

[12]
Entry from the Alexandria database: a relaxed Ta2V3N2 crystal (GGA-PBE).

Computed properties:
Crystal system: monoclinic
Total energy (eV for the cell shown): -71.13
Formation energy from raw total energies (eV per formula unit): -3.42

abc: 4.5261 4.5261 7.2082
angles: 113.88 113.88 38.02
Sites, in units of the cell vectors:
Ta: 0.1614 0.1614 0.2916
Ta: 0.8386 0.8386 0.7084
V: 0.3747 0.3747 0.0637
V: 0.5000 0.5000 0.5000
V: 0.6253 0.6253 0.9363
N: 0.1345 0.1345 0.7412
N: 0.8655 0.8655 0.2588

---

[13]
Entry from the Alexandria database: a relaxed SmY6Er2Th3 crystal (GGA-PBE).

Computed properties:
Crystal system: monoclinic
Total energy (eV for the cell shown): -74.58
Formation enthalpy at 0 K (eV/atom): 0.03

abc: 6.1956 6.1956 11.7653
angles: 95.05 95.05 119.99
Sites, in units of the cell vectors:
Sm: 0.0000 0.0000 0.0000
Y: 0.0846 0.4183 0.2537
Y: 0.2492 0.2492 0.7462
Y: 0.4183 0.0846 0.2537
Y: 0.5817 0.9154 0.7462
Y: 0.7508 0.7508 0.2538
Y: 0.9154 0.5817 0.7462
Er: 0.3333 0.6667 0.0000
Er: 0.6667 0.3333 0.0000
Th: 0.1664 0.8336 0.5000
Th: 0.5000 0.5000 0.5000
Th: 0.8336 0.1664 0.5000

---

[14]
Entry from the Alexandria database: a relaxed Ba2TaCrPd crystal (GGA-PBE).

Computed properties:
Crystal system: tetragonal
Total energy (eV for the cell shown): -22.82
Formation enthalpy at 0 K (eV/atom): 1.54

abc: 6.0969 6.0969 4.6302
angles: 90.00 90.00 90.00
Sites, in units of the cell vectors:
Ba: 0.0000 0.5000 0.0000
Ba: 0.5000 0.0000 0.0000
Ta: 0.0000 0.0000 0.5000
Cr: 0.5000 0.5000 0.5000
Pd: 0.5000 0.5000 0.0000

---

[15]
Entry from the Alexandria database: a relaxed DyErMgRu crystal (GGA-PBE).

Computed properties:
Energy relative to the lowest polymorph listed for this composition (eV/atom): 0.099
Crystal system: cubic
Total energy (eV for the cell shown): -20.88
Formation enthalpy at 0 K (eV/atom): -0.21

abc: 4.9991 4.9991 4.9991
angles: 60.00 60.00 60.00
Sites, in units of the cell vectors:
Dy: 0.0000 0.0000 0.0000
Er: 0.5000 0.5000 0.5000
Mg: 0.7500 0.7500 0.7500
Ru: 0.2500 0.2500 0.2500

---

[16]
Entry from the Alexandria database: a relaxed Ac2PdRu crystal (GGA-PBE).

Computed properties:
Crystal system: trigonal
Total energy (eV for the cell shown): -22.13
Formation enthalpy at 0 K (eV/atom): 0.14

abc: 9.3331 9.3331 9.3331
angles: 25.85 25.85 25.85
Sites, in units of the cell vectors:
Ac: 0.1051 0.1051 0.1051
Ac: 0.8949 0.8949 0.8949
Pd: 0.0000 0.0000 0.0000
Ru: 0.5000 0.5000 0.5000

---

[17]
Entry from the Alexandria database: a relaxed TlFe2W crystal (GGA-PBE).

Computed properties:
Energy relative to the lowest polymorph listed for this composition (eV/atom): 0.585
Crystal system: tetragonal
Total energy (eV for the cell shown): -56.32
Formation enthalpy at 0 K (eV/atom): 1.02

abc: 5.6414 5.6414 5.6414
angles: 104.08 104.08 120.88
Sites, in units of the cell vectors:
Tl: 0.0000 0.0000 0.0000
Tl: 0.7500 0.2500 0.5000
Fe: 0.1717 0.1250 0.5467
Fe: 0.3750 0.8283 0.9533
Fe: 0.5783 0.6250 0.4533
Fe: 0.8750 0.4217 0.0467
W: 0.2500 0.7500 0.5000
W: 0.5000 0.5000 0.0000

---

[18]
Entry from the Alexandria database: a relaxed Ho3CdHg crystal (GGA-PBE).

Computed properties:
Energy relative to the lowest polymorph listed for this composition (eV/atom): 0.000
Crystal system: orthorhombic
Total energy (eV for the cell shown): -32.86
Formation enthalpy at 0 K (eV/atom): -0.30

abc: 10.4067 10.4067 5.1746
angles: 90.00 90.00 151.19
Sites, in units of the cell vectors:
Ho: 0.0600 0.9400 0.7500
Ho: 0.2497 0.7503 0.7500
Ho: 0.4383 0.5617 0.7500
Ho: 0.5617 0.4383 0.2500
Ho: 0.7503 0.2497 0.2500
Ho: 0.9400 0.0600 0.2500
Cd: 0.1551 0.8449 0.2500
Cd: 0.8449 0.1551 0.7500
Hg: 0.3429 0.6571 0.2500
Hg: 0.6571 0.3429 0.7500

---

[19]
Entry from the Alexandria database: a relaxed Tb3Sm3HoSe8 crystal (GGA-PBE).

Computed properties:
Crystal system: trigonal
Total energy (eV for the cell shown): -88.35
Formation energy from raw total energies (eV per formula unit): -27.85

abc: 8.2476 8.2476 8.2476
angles: 59.79 59.79 59.79
Sites, in units of the cell vectors:
Tb: 0.0000 0.5000 0.5000
Tb: 0.5000 0.0000 0.5000
Tb: 0.5000 0.5000 0.0000
Sm: 0.0000 0.0000 0.5000
Sm: 0.0000 0.5000 0.0000
Sm: 0.5000 0.0000 0.0000
Ho: 0.0000 0.0000 0.0000
Se: 0.2498 0.2498 0.7457
Se: 0.2498 0.7457 0.2498
Se: 0.2522 0.2522 0.2522
Se: 0.2543 0.7502 0.7502
Se: 0.7457 0.2498 0.2498
Se: 0.7478 0.7478 0.7478
Se: 0.7502 0.2543 0.7502
Se: 0.7502 0.7502 0.2543

---

[20]
Entry from the Alexandria database: a relaxed K4Pa3SbN8 crystal (GGA-PBE).

Computed properties:
Crystal system: trigonal
Total energy (eV for the cell shown): -115.78
Formation energy from raw total energies (eV per formula unit): -12.18

abc: 7.6402 7.6402 7.6402
angles: 55.25 55.25 55.25
Sites, in units of the cell vectors:
K: 0.0000 0.0000 0.0000
K: 0.0000 0.5000 0.5000
K: 0.5000 0.0000 0.5000
K: 0.5000 0.5000 0.0000
Pa: 0.0000 0.0000 0.5000
Pa: 0.0000 0.5000 0.0000
Pa: 0.5000 0.0000 0.0000
Sb: 0.5000 0.5000 0.5000
N: 0.2184 0.2184 0.2184
N: 0.2279 0.7209 0.7209
N: 0.2791 0.2791 0.7721
N: 0.2791 0.7721 0.2791
N: 0.7209 0.2279 0.7209
N: 0.7209 0.7209 0.2279
N: 0.7721 0.2791 0.2791
N: 0.7816 0.7816 0.7816

---

[21]
Entry from the Alexandria database: a relaxed Pr3CdAg crystal (GGA-PBE).

Computed properties:
Crystal system: orthorhombic
Total energy (eV for the cell shown): -38.31
Formation enthalpy at 0 K (eV/atom): -0.21

abc: 10.6039 10.6039 5.4026
angles: 90.00 90.00 150.50
Sites, in units of the cell vectors:
Pr: 0.0616 0.9384 0.7500
Pr: 0.2496 0.7504 0.7500
Pr: 0.4362 0.5638 0.7500
Pr: 0.5638 0.4362 0.2500
Pr: 0.7504 0.2496 0.2500
Pr: 0.9384 0.0616 0.2500
Cd: 0.1543 0.8457 0.2500
Cd: 0.8457 0.1543 0.7500
Ag: 0.3431 0.6569 0.2500
Ag: 0.6569 0.3431 0.7500

---

[22]
Entry from the Alexandria database: a relaxed Co2PbAu crystal (GGA-PBE).

Computed properties:
Crystal system: orthorhombic
Total energy (eV for the cell shown): -19.49
Formation enthalpy at 0 K (eV/atom): 0.43

abc: 5.3349 5.3349 5.3349
angles: 143.73 131.11 62.37
Sites, in units of the cell vectors:
Co: 0.0000 0.0000 0.0000
Co: 0.8184 0.3184 0.5000
Pb: 0.2762 0.7762 0.5000
Au: 0.5584 0.5584 0.0000

---

[23]
Entry from the Alexandria database: a relaxed CsLaPS2 crystal (GGA-PBE).

Computed properties:
Energy relative to the lowest polymorph listed for this composition (eV/atom): 1.109
Crystal system: tetragonal
Total energy (eV for the cell shown): -17.17
Formation energy from raw total energies (eV per formula unit): 2.28

abc: 5.1891 5.1891 5.6030
angles: 90.00 90.00 90.00
Sites, in units of the cell vectors:
Cs: 0.0000 0.0000 0.0000
La: 0.5000 0.5000 0.5000
P: 0.0000 0.0000 0.5000
S: 0.0000 0.5000 0.0000
S: 0.5000 0.0000 0.0000